# 1
## Na3ZnBi3 (PBE)

Data for Na3ZnBi3 after structural relaxation.

Output
Crystal system ... monoclinic
DFT total energy ... -2.60 eV per atom
ΔH_f (0 K) ... -18.0 kJ/mol of atoms

The structure in POSCAR format:
```
Na3ZnBi3
1.0
4.346 -7.349 0.000
4.346 7.349 0.000
-3.832 0.000 6.702
Na Zn Bi
6 2 6
Direct
0.119 0.881 0.000
0.316 0.684 0.500
0.429 0.429 0.164
0.571 0.571 0.836
0.684 0.316 0.500
0.881 0.119 0.000
0.134 0.134 0.715
0.866 0.866 0.285
0.115 0.478 0.857
0.225 0.225 0.413
0.478 0.115 0.857
0.522 0.885 0.143
0.775 0.775 0.587
0.885 0.522 0.143
```

# 2
## Pu2GaPd3 (PBE)

Data for Pu2GaPd3 after structural relaxation.

Output
Crystal system ... hexagonal
DFT total energy ... -8.51 eV per atom
Energy above the lowest structure with this stoichiometry ... 0.000 kcal/mol of atoms
ΔH_f (0 K) ... -60.5 kJ/mol of atoms

The structure in POSCAR format:
```
Pu2GaPd3
1.0
5.578 0.000 0.000
-2.789 4.831 0.000
0.000 0.000 8.429
Pu Ga Pd
4 2 6
Direct
0.333 0.667 0.070
0.333 0.667 0.430
0.667 0.333 0.570
0.667 0.333 0.930
0.000 0.000 0.000
0.000 0.000 0.500
0.169 0.337 0.750
0.169 0.831 0.750
0.337 0.169 0.250
0.663 0.831 0.750
0.831 0.169 0.250
0.831 0.663 0.250
```

# 3
## CaAl2Ir (PBE)

Data for CaAl2Ir after structural relaxation.

Output
Crystal system ... monoclinic
DFT total energy ... -5.01 eV per atom
ΔH_f (0 K) ... -41.1 kJ/mol of atoms

The structure in POSCAR format:
```
CaAl2Ir
1.0
8.582 0.000 0.000
0.000 3.171 0.000
-1.056 0.000 5.661
Ca Al Ir
2 4 2
Direct
0.000 0.000 0.000
0.500 0.500 0.000
0.228 0.000 0.673
0.272 0.500 0.327
0.728 0.500 0.673
0.772 0.000 0.327
0.000 0.500 0.500
0.500 0.000 0.500
```

# 4
## LiNd3Pt3 (PBE)

Data for LiNd3Pt3 after structural relaxation.

Output
Crystal system ... monoclinic
DFT total energy ... -5.87 eV per atom
ΔH_f (0 K) ... -92.7 kJ/mol of atoms

The structure in POSCAR format:
```
LiNd3Pt3
1.0
5.601 -2.071 0.000
5.601 2.071 0.000
-5.094 0.000 13.852
Li Nd Pt
2 6 6
Direct
0.234 0.234 0.412
0.766 0.766 0.588
0.262 0.262 0.771
0.396 0.396 0.077
0.472 0.472 0.614
0.528 0.528 0.386
0.604 0.604 0.923
0.738 0.738 0.229
0.022 0.022 0.236
0.125 0.125 0.078
0.132 0.132 0.554
0.868 0.868 0.446
0.875 0.875 0.922
0.978 0.978 0.764
```

# 5
## PrNd3Pb2 (PBE)

Data for PrNd3Pb2 after structural relaxation.

Output
Crystal system ... tetragonal
DFT total energy ... -4.86 eV per atom
Energy above the lowest structure with this stoichiometry ... 0.000 kcal/mol of atoms
ΔH_f (0 K) ... -42.4 kJ/mol of atoms

The structure in POSCAR format:
```
PrNd3Pb2
1.0
4.698 0.000 0.000
0.000 4.698 0.000
0.000 0.000 8.989
Pr Nd Pb
1 3 2
Direct
0.000 0.000 0.000
0.000 0.500 0.349
0.500 0.000 0.651
0.500 0.500 0.000
0.000 0.500 0.715
0.500 0.000 0.285
```

# 6
## Tl5Sn (PBE)

Data for Tl5Sn after structural relaxation.

Output
Crystal system ... tetragonal
DFT total energy ... -2.58 eV per atom
Energy above the lowest structure with this stoichiometry ... 0.960 kcal/mol of atoms
ΔH_f (0 K) ... 5.5 kJ/mol of atoms

The structure in POSCAR format:
```
Tl5Sn
1.0
-3.755 3.755 6.890
3.755 -3.755 6.890
3.755 3.755 -6.890
Tl Sn
10 2
Direct
0.000 0.000 0.000
0.019 0.519 0.808
0.211 0.019 0.500
0.289 0.789 0.808
0.481 0.289 0.500
0.500 0.500 0.000
0.519 0.711 0.500
0.711 0.211 0.192
0.789 0.981 0.500
0.981 0.481 0.192
0.250 0.250 0.000
0.750 0.750 0.000
```

# 7
## Ag5P (PBE)

Data for Ag5P after structural relaxation.

Output
Crystal system ... cubic
DFT total energy ... -2.90 eV per atom
Energy above the lowest structure with this stoichiometry ... 5.444 kcal/mol of atoms
ΔH_f (0 K) ... 36.7 kJ/mol of atoms

The structure in POSCAR format:
```
Ag5P
1.0
0.000 3.852 3.852
3.852 0.000 3.852
3.852 3.852 0.000
Ag P
5 1
Direct
0.000 0.000 0.000
0.125 0.625 0.625
0.625 0.125 0.625
0.625 0.625 0.125
0.625 0.625 0.625
0.250 0.250 0.250
```

# 8
## Rb3U3GeSe8 (PBE)

Data for Rb3U3GeSe8 after structural relaxation.

Output
E_form (uncorrected) ... -1091.6 meV per atom
Crystal system ... monoclinic
DFT total energy ... -5.71 eV per atom

The structure in POSCAR format:
```
Rb3U3GeSe8
1.0
7.354 -4.229 0.000
7.354 4.229 0.000
-4.911 0.000 8.054
Rb U Ge Se
3 3 1 8
Direct
0.000 0.000 0.000
0.000 0.500 0.000
0.500 0.000 0.000
0.000 0.500 0.500
0.500 0.000 0.500
0.500 0.500 0.500
0.000 0.000 0.500
0.231 0.231 0.687
0.231 0.726 0.688
0.267 0.267 0.303
0.274 0.769 0.312
0.726 0.231 0.688
0.733 0.733 0.697
0.769 0.274 0.312
0.769 0.769 0.313
```

# 9
## Tb2Fe2P2C (PBE)

Data for Tb2Fe2P2C after structural relaxation.

Output
Crystal system ... monoclinic
DFT total energy ... -7.52 eV per atom
ΔH_f (0 K) ... -88.2 kJ/mol of atoms

The structure in POSCAR format:
```
Tb2Fe2P2C
1.0
10.502 0.000 0.000
0.000 3.785 0.000
-3.915 0.000 5.308
Tb Fe P C
4 4 4 2
Direct
0.061 0.000 0.305
0.439 0.500 0.695
0.561 0.500 0.305
0.939 0.000 0.695
0.195 0.500 0.079
0.305 0.000 0.921
0.695 0.000 0.079
0.805 0.500 0.921
0.180 0.500 0.724
0.320 0.000 0.276
0.680 0.000 0.724
0.820 0.500 0.276
0.000 0.500 0.000
0.500 0.000 0.000
```

# 10
## RbTa2NbO8 (PBE)

Data for RbTa2NbO8 after structural relaxation.

Output
E_form (uncorrected) ... -2589.9 meV per atom
Crystal system ... monoclinic
DFT total energy ... -8.79 eV per atom

The structure in POSCAR format:
```
RbTa2NbO8
1.0
4.537 -3.126 0.000
4.537 3.126 0.000
-2.094 0.000 7.131
Rb Ta Nb O
1 2 1 8
Direct
0.000 0.000 0.000
0.430 0.430 0.778
0.570 0.570 0.222
0.000 0.000 0.500
0.215 0.745 0.682
0.223 0.223 0.617
0.255 0.785 0.318
0.364 0.364 0.001
0.636 0.636 0.999
0.745 0.215 0.682
0.777 0.777 0.383
0.785 0.255 0.318
```

# 11
## Sm6InGe2Te3 (PBE)

Data for Sm6InGe2Te3 after structural relaxation.

Output
E_form (uncorrected) ... -1083.8 meV per atom
Crystal system ... monoclinic
DFT total energy ... -5.23 eV per atom

The structure in POSCAR format:
```
Sm6InGe2Te3
1.0
9.637 -2.170 0.000
9.637 2.170 0.000
-2.299 0.000 8.611
Sm In Ge Te
6 1 2 3
Direct
0.007 0.007 0.257
0.327 0.327 0.433
0.332 0.332 0.897
0.668 0.668 0.103
0.673 0.673 0.567
0.993 0.993 0.743
0.500 0.500 0.000
0.167 0.167 0.333
0.833 0.833 0.667
0.165 0.165 0.831
0.500 0.500 0.500
0.835 0.835 0.169
```

# 12
## Ce2PrNpN4 (PBE)

Data for Ce2PrNpN4 after structural relaxation.

Output
E_form (uncorrected) ... -1325.3 meV per atom
Crystal system ... tetragonal
DFT total energy ... -9.19 eV per atom

The structure in POSCAR format:
```
Ce2PrNpN4
1.0
5.056 0.000 0.000
0.000 5.056 0.000
0.000 0.000 10.074
Ce Pr Np N
4 2 2 8
Direct
0.000 0.000 0.000
0.000 0.500 0.250
0.500 0.000 0.750
0.500 0.500 0.500
0.000 0.500 0.750
0.500 0.000 0.250
0.000 0.000 0.500
0.500 0.500 0.000
0.000 0.000 0.266
0.000 0.000 0.734
0.000 0.500 0.007
0.000 0.500 0.493
0.500 0.000 0.507
0.500 0.000 0.993
0.500 0.500 0.234
0.500 0.500 0.766
```